Computed, not measured: crystalline La4HoTh3Se8 at its relaxed geometry at the PBE level of DFT.

The structure belongs to space group R-3m (No. 166, hexagonal axes); the cell edges are 8.4710, 8.4710 and 20.8002 Å and the angles 90.00°, 90.00° and 120.00°. The distinct sites, in fractional coordinates, are La at (0.0000, 0.0000, 0.0000), La at (0.0000, 0.5000, 0.0000), Ho at (0.0000, 0.0000, 0.5000), Th at (0.0000, 0.5000, 0.5000), Se at (0.0000, 0.0000, 0.2485) and Se at (0.0077, 0.5038, 0.2464).

The mass density comes out at 7.89 g/cm³. The value obtained for the formation energy without anion corrections is -1.79 eV per atom.

=====

Computed, not measured: crystalline DyErTmHg at its relaxed geometry at the PBE level of DFT.

The structure belongs to space group F-43m (No. 216); the cell edges are 7.583, 7.583 and 7.583 Å and the angles 90.00°, 90.00° and 90.00°. The distinct sites, in fractional coordinates, are Dy at (0.000, 0.000, 0.000), Er at (0.000, 0.000, 0.500), Tm at (0.250, 0.250, 0.750) and Hg at (0.250, 0.250, 0.250).

For the formation energy, the calculation gives -0.049 eV per atom. The mass density comes out at 10.65 g/cm³.

=====

Computed, not measured: crystalline ScCdAg3 at its relaxed geometry at the PBE level of DFT.

The structure belongs to space group Pm-3m (No. 221); the cell edges are 5.210, 5.210 and 5.210 Å and the angles 90.00°, 90.00° and 90.00°. The distinct sites, in fractional coordinates, are Sc at (0.000, 0.000, 0.000), Cd at (0.500, 0.500, 0.500) and Ag at (0.000, 0.000, 0.500).

For the formation energy, the calculation gives 0.796 eV per atom. The mass density comes out at 5.65 g/cm³. For the distance to the lowest polymorph of the same formula, the calculation gives 974 meV per atom.